# 1
7
Lattice="4.435 0.000 0.000 0.000 4.435 0.000 2.218 2.218 5.401" Properties=species:S:1:pos:R:3 comment="Li2PmH4, optimized geometry, DFT GGA-PBE" crystal_system=tetragonal dft_energy_ev_per_atom=-3.2576 pbc="T T T"
Li 4.435 4.435 3.893
Li 2.218 2.218 1.507
Pm 0.000 0.000 0.000
H 2.218 2.218 3.210
H 4.435 4.435 2.190
H 0.000 2.218 0.000
H 2.218 0.000 0.000



# 2
7
Lattice="-2.836 2.228 0.589 0.579 -0.215 3.602 2.698 5.961 1.777" Properties=species:S:1:pos:R:3 comment="LiPm2H4, optimized geometry, DFT GGA-PBE" crystal_system=tetragonal dft_energy_ev_per_atom=-3.9676 pbc="T T T"
Li 0.000 0.000 0.000
H 1.470 4.371 1.879
H 0.289 -0.108 1.801
H -1.030 3.602 4.088
H -1.418 1.114 0.294
Pm 0.035 2.513 1.998
Pm 0.405 5.461 3.969



# 3
10
Lattice="5.615 0.000 0.000 0.000 6.986 -0.930 2.807 2.789 3.980" Properties=species:S:1:pos:R:3 comment="LiPm2HPt6, optimized geometry, DFT GGA-PBE" crystal_system=monoclinic dft_energy_ev_per_atom=-5.8121 pbc="T T T"
Li 0.000 0.000 0.000
Pt 5.615 6.323 1.483
Pt 4.187 4.827 3.525
Pt 7.041 4.827 3.525
Pt 1.380 4.948 -0.475
Pt 2.807 3.452 1.567
Pt 4.234 4.948 -0.475
H 2.807 3.493 -0.465
Pm 5.615 2.594 2.139
Pm 2.807 7.182 0.911



# 4
12
Lattice="-4.341 -1.068 1.730 -0.428 -2.996 3.717 -1.255 2.899 5.283" Properties=species:S:1:pos:R:3 comment="LiPmH8Pt2, optimized geometry, DFT GGA-PBE" crystal_system=trigonal dft_energy_ev_per_atom=-3.9886 pbc="T T T"
Pm -3.012 -0.583 5.365
H -1.900 -2.531 4.826
H -1.434 0.618 3.424
H -4.124 1.366 5.904
H -4.590 -1.784 7.306
H -3.028 -1.038 3.103
H -1.590 1.144 5.931
H -2.996 -0.128 7.627
H -4.434 -2.310 4.800
Pt -1.533 -0.639 2.399
Pt -4.491 -0.526 8.331
Li 0.000 0.000 0.000